# 1
Compound: La2InRe
Source: Alexandria via LeMat-Bulk
Functional: meta-GGA SCAN
Structure: single point on PBEsol structure

Values from the calculation:
Crystal system   tetragonal
Energy relative to the elements   0.22 eV per atom
Space-group type   P4mm (99)
VASP energy   -1.7441 Ha/atom

Cell lengths 3.5862, 3.5862, 7.1394 Å; angles 90.00, 90.00, 90.00 degrees
With the nearest neighbours (Å) after each atom.
Positions (direct):
La: 0.5000 0.5000 0.2793  4 Re 3.05, 1 In 3.06, 4 La 3.25
La: 0.0000 0.0000 0.9947  8 La 3.25-3.59, 4 In 3.26, 1 Re 3.41
Re: 0.0000 0.0000 0.5175  4 In 2.88, 4 La 3.05
In: 0.5000 0.5000 0.7084  4 Re 2.88, 1 La 3.06



# 2
Compound: Ce3Ge13Os4
Source: Alexandria via LeMat-Bulk
Functional: meta-GGA SCAN
Structure: single point on PBEsol structure

Values from the calculation:
Crystal system   cubic
Energy relative to the elements   -0.43 eV per atom
Space-group type   Pm-3n (223)
VASP energy   -1.2457 Ha/atom

Cell lengths 8.9934, 8.9934, 8.9934 Å; angles 90.00, 90.00, 90.00 degrees
With the nearest neighbours (Å) after each atom.
Positions (direct):
Ge: 0.5000 0.5000 0.5000  12 Ge 3.04
Ge: 0.5000 0.8045 0.6473  2 Os 2.48, 1 Ge 2.65
Ge: 0.1473 0.3045 0.0000  2 Os 2.48, 1 Ge 2.65
Ge: 0.0000 0.1473 0.6955  2 Os 2.48, 1 Ge 2.65
Ge: 0.5000 0.1955 0.6473  2 Os 2.48, 1 Ge 2.65
Ge: 0.8527 0.3045 0.0000  2 Os 2.48, 1 Ge 2.65
Ge: 0.8045 0.3527 0.5000  2 Os 2.48, 1 Ge 2.65
Ge: 0.1473 0.6955 0.0000  2 Os 2.48, 1 Ge 2.65
Ge: 0.6473 0.5000 0.1955  2 Os 2.48, 1 Ge 2.65
Ge: 0.1955 0.3527 0.5000  2 Os 2.48, 1 Ge 2.65
Ge: 0.6955 0.0000 0.1473  2 Os 2.48, 1 Ge 2.65
Ge: 0.3045 0.0000 0.8527  2 Os 2.48, 1 Ge 2.65
Ge: 0.0000 0.1473 0.3045  2 Os 2.48, 1 Ge 2.65
Ge: 0.6955 0.0000 0.8527  2 Os 2.48, 1 Ge 2.65
Ge: 0.0000 0.0000 0.0000  12 Ge 3.04
Ge: 0.1955 0.6473 0.5000  2 Os 2.48, 1 Ge 2.65
Ge: 0.5000 0.8045 0.3527  2 Os 2.48, 1 Ge 2.65
Ge: 0.6473 0.5000 0.8045  2 Os 2.48, 1 Ge 2.65
Ge: 0.0000 0.8527 0.6955  2 Os 2.48, 1 Ge 2.65
Ge: 0.3527 0.5000 0.1955  2 Os 2.48, 1 Ge 2.65
Ge: 0.0000 0.8527 0.3045  2 Os 2.48, 1 Ge 2.65
Ge: 0.8527 0.6955 0.0000  2 Os 2.48, 1 Ge 2.65
Ge: 0.5000 0.1955 0.3527  2 Os 2.48, 1 Ge 2.65
Ge: 0.3527 0.5000 0.8045  2 Os 2.48, 1 Ge 2.65
Ge: 0.8045 0.6473 0.5000  2 Os 2.48, 1 Ge 2.65
Ge: 0.3045 0.0000 0.1473  2 Os 2.48, 1 Ge 2.65
Os: 0.7500 0.2500 0.2500  6 Ge 2.48
Os: 0.7500 0.7500 0.7500  6 Ge 2.48
Os: 0.2500 0.2500 0.7500  6 Ge 2.48
Os: 0.7500 0.2500 0.7500  6 Ge 2.48
Os: 0.2500 0.7500 0.2500  6 Ge 2.48
Os: 0.2500 0.7500 0.7500  6 Ge 2.48
Os: 0.7500 0.7500 0.2500  6 Ge 2.48
Os: 0.2500 0.2500 0.2500  6 Ge 2.48
Ce: 0.0000 0.5000 0.2500  12 Ge 3.15-3.21, 4 Os 3.18
Ce: 0.7500 0.0000 0.5000  12 Ge 3.15-3.21, 4 Os 3.18
Ce: 0.0000 0.5000 0.7500  12 Ge 3.15-3.21, 4 Os 3.18
Ce: 0.5000 0.2500 0.0000  12 Ge 3.15-3.21, 4 Os 3.18
Ce: 0.2500 0.0000 0.5000  12 Ge 3.15-3.21, 4 Os 3.18
Ce: 0.5000 0.7500 0.0000  12 Ge 3.15-3.21, 4 Os 3.18



# 3
Compound: HfTaS2N
Source: Alexandria via LeMat-Bulk
Functional: meta-GGA SCAN
Structure: single point on PBEsol structure

Values from the calculation:
Crystal system   tetragonal
Relative energy among the computed polymorphs   1.700 eV per atom
Space-group type   P4/mmm (123)
VASP energy   -1.1079 Ha/atom
Energy relative to the elements, uncorrected   1.41 eV/atom

Cell lengths 4.6700, 4.6700, 5.4726 Å; angles 90.00, 90.00, 90.00 degrees
With the nearest neighbours (Å) after each atom.
Positions (direct):
N: 0.5000 0.5000 0.5000  4 Ta 3.30, 8 S 3.60
S: 0.5000 0.0000 0.0000  2 Hf 2.33
S: 0.0000 0.5000 0.0000  2 Hf 2.33
Ta: 0.0000 0.0000 0.5000  2 Hf 2.74
Hf: 0.0000 0.0000 0.0000  4 S 2.33



Q: Which value of VASP energy does entry 1 give?
A: -1.7441 Ha/atom



Q: What is the formula in the third record?
A: HfTaS2N